[1]
VASP calculation (PBE) on an optimized crystal structure of Cr2OsRh.

The calculation puts the density of states at the Fermi level at 5.05 states/eV/f.u. The value obtained for the offset from the most stable computed form is 0.234 eV/atom. As for the calculated total energy: -9.197 eV per atom. As for the size of the total moment: 0.00 μB/f.u.

a = 2.626 Å, b = 2.626 Å, c = 8.453 Å
α = 90.00°, β = 90.00°, γ = 114.45°
Fractional coordinates of all 4 atoms:
Cr (0.000, 0.000, 0.000)
Cr (0.500, 0.500, 0.219)
Os (0.000, 0.000, 0.468)
Rh (0.500, 0.500, 0.750)

---

[2]
VASP calculation (PBE) on an optimized crystal structure of Cr2OsRh.

The calculation puts the density of states at the Fermi level at 5.15 states/eV/f.u. The value obtained for the offset from the most stable computed form is 0.113 eV/atom. As for the calculated total energy: -9.319 eV per atom. As for the size of the total moment: 0.00 μB/f.u.

a = 5.007 Å, b = 5.007 Å, c = 5.007 Å
α = 146.91°, β = 129.49°, γ = 61.73°
Fractional coordinates of all 4 atoms:
Cr (0.000, 0.000, 0.000)
Cr (0.795, 0.295, 0.500)
Os (0.252, 0.752, 0.500)
Rh (0.538, 0.538, 0.000)

---

[3]
VASP calculation (PBE) on an optimized crystal structure of Cr2OsRh.

The calculation puts the density of states at the Fermi level at 5.11 states/eV/f.u. The value obtained for the offset from the most stable computed form is 0.004 eV/atom. As for the calculated total energy: -9.427 eV per atom. As for the size of the total moment: 0.00 μB/f.u.

a = 3.805 Å, b = 3.805 Å, c = 3.637 Å
α = 90.00°, β = 90.00°, γ = 90.00°
Fractional coordinates of all 4 atoms:
Cr (0.000, 0.500, 0.000)
Cr (0.500, 0.000, 0.000)
Os (0.000, 0.000, 0.500)
Rh (0.500, 0.500, 0.500)

---

[4]
VASP calculation (PBE) on an optimized crystal structure of Cr2Os2Rh.

The calculation puts the density of states at the Fermi level at 5.47 states/eV/f.u. The value obtained for the offset from the most stable computed form is 0.000 eV/atom. As for the calculated total energy: -9.627 eV per atom. As for the size of the total moment: 0.00 μB/f.u.

a = 7.080 Å, b = 7.080 Å, c = 2.736 Å
α = 90.00°, β = 90.00°, γ = 90.00°
Fractional coordinates of all 10 atoms:
Cr (0.129, 0.371, 0.000)
Cr (0.371, 0.871, 0.000)
Cr (0.629, 0.129, 0.000)
Cr (0.871, 0.629, 0.000)
Os (0.168, 0.668, 0.500)
Os (0.332, 0.168, 0.500)
Os (0.668, 0.832, 0.500)
Os (0.832, 0.332, 0.500)
Rh (0.000, 0.000, 0.000)
Rh (0.500, 0.500, 0.000)

---

[5]
VASP calculation (PBE) on an optimized crystal structure of Cr3OsRh4.

The calculation puts the density of states at the Fermi level at 7.03 states/eV/f.u. As for the calculated total energy: -8.720 eV per atom. As for the size of the total moment: 0.84 μB/f.u.

a = 7.978 Å, b = 7.978 Å, c = 7.978 Å
α = 152.71°, β = 152.71°, γ = 38.98°
Fractional coordinates of all 8 atoms:
Cr (0.000, 0.000, 0.000)
Cr (0.248, 0.248, 0.000)
Cr (0.752, 0.752, 0.000)
Os (0.500, 0.500, 0.000)
Rh (0.129, 0.629, 0.500)
Rh (0.371, 0.871, 0.500)
Rh (0.629, 0.129, 0.500)
Rh (0.871, 0.371, 0.500)

---

[6]
VASP calculation (PBE) on an optimized crystal structure of CrOsRh.

The calculation puts the density of states at the Fermi level at 3.86 states/eV/f.u. The value obtained for the offset from the most stable computed form is 0.094 eV/atom. As for the calculated total energy: -9.346 eV per atom. As for the size of the total moment: 0.00 μB/f.u.

a = 2.685 Å, b = 2.685 Å, c = 6.517 Å
α = 90.00°, β = 90.00°, γ = 120.00°
Fractional coordinates of all 3 atoms:
Cr (0.000, 0.000, 0.000)
Os (0.667, 0.333, 0.313)
Rh (0.333, 0.667, 0.678)

---

[7]
VASP calculation (PBE) on an optimized crystal structure of Cr3Os2Rh2.

The calculation puts the density of states at the Fermi level at 9.45 states/eV/f.u. As for the calculated total energy: -9.023 eV per atom. As for the size of the total moment: 4.40 μB/f.u.

a = 6.370 Å, b = 6.370 Å, c = 6.370 Å
α = 109.47°, β = 109.47°, γ = 109.47°
Fractional coordinates of all 14 atoms:
Cr (0.164, 0.750, 0.914)
Cr (0.250, 0.586, 0.336)
Cr (0.336, 0.250, 0.586)
Cr (0.586, 0.336, 0.250)
Cr (0.750, 0.914, 0.164)
Cr (0.914, 0.164, 0.750)
Os (0.000, 0.809, 0.500)
Os (0.500, 0.000, 0.809)
Os (0.691, 0.691, 0.691)
Os (0.809, 0.500, 0.000)
Rh (0.000, 0.392, 0.500)
Rh (0.108, 0.108, 0.108)
Rh (0.392, 0.500, 0.000)
Rh (0.500, 0.000, 0.392)

---

[8]
VASP calculation (PBE) on an optimized crystal structure of Cr3OsRh.

The calculation puts the density of states at the Fermi level at 10.91 states/eV/f.u. As for the calculated total energy: -7.590 eV per atom. As for the size of the total moment: 0.00 μB/f.u.

a = 4.352 Å, b = 4.352 Å, c = 4.352 Å
α = 90.00°, β = 90.00°, γ = 90.00°
Fractional coordinates of all 5 atoms:
Cr (0.000, 0.000, 0.500)
Cr (0.000, 0.500, 0.000)
Cr (0.500, 0.000, 0.000)
Os (0.500, 0.500, 0.500)
Rh (0.000, 0.000, 0.000)

---

Number 1: ΔH_f (0 K) 0.26 eV/atom. Number 2: ΔH_f (0 K) 0.14 eV/atom. Number 3: ΔH_f (0 K) 0.03 eV/atom. Number 4: ΔH_f (0 K) 0.18 eV/atom. Number 5: ΔH_f (0 K) -0.03 eV/atom. Number 6: ΔH_f (0 K) 0.06 eV/atom. Number 7: ΔH_f (0 K) 0.41 eV/atom. Number 8: ΔH_f (0 K) 1.90 eV/atom.